Record 1
Material: PrDyMgIn
Method: DFT, PBE
State: optimized geometry

The structure belongs to space group F-43m (No. 216); the cell edges are 7.659, 7.659 and 7.659 Å and the angles 90.00°, 90.00° and 90.00°. The asymmetric unit holds Pr at (0.000, 0.000, 0.000), Dy at (0.000, 0.000, 0.500), Mg at (0.250, 0.250, 0.250) and In at (0.250, 0.250, 0.750).

The final energy comes out at -0.1380 Ha/atom. Its volume is 449.23 Å³/cell. For the formation energy, the calculation gives -0.33 eV/atom. The mass density comes out at 6.543 g/cm³.

=====

Record 2
Material: Li2Pd2Pb
Method: DFT, PBE
State: optimized geometry

The structure belongs to space group P2_1/c (No. 14); the cell edges are 9.544, 4.998 and 7.468 Å and the angles 90.00°, 111.54° and 90.00°. The asymmetric unit holds Li at (0.128, 0.079, 0.097), Li at (0.236, 0.611, 0.994), Pd at (0.043, 0.584, 0.194), Pd at (0.440, 0.591, 0.793) and Pb at (0.334, 0.106, 0.889).

The final energy comes out at -0.1455 Ha/atom. Its volume is 331.36 Å³/cell. For the formation energy, the calculation gives -0.37 eV/atom. The mass density comes out at 8.698 g/cm³.

=====

Among the records above, which one has the lowest mass density? PrDyMgIn

=====

Among the records above, which one has the highest formation energy? PrDyMgIn

=====

Which formula does entry 1 have? PrDyMgIn